# 1
ErZr6Sn4: optimized geometry, PBE-GGA.

Unit cell a=8.7398 b=8.7398 c=8.7398 alpha=40.83 beta=40.83 gamma=40.83
Sites, in units of the cell vectors:
Er  0.0000  0.0000  0.0000
Zr  0.3962  0.8929  0.3962
Zr  0.1071  0.6038  0.6038
Zr  0.6038  0.6038  0.1071
Zr  0.8929  0.3962  0.3962
Zr  0.6038  0.1071  0.6038
Zr  0.3962  0.3962  0.8929
Sn  0.1234  0.1234  0.1234
Sn  0.8766  0.8766  0.8766
Sn  0.3328  0.3328  0.3328
Sn  0.6672  0.6672  0.6672

# 2
TbTlAu3Se4: optimized geometry, PBE-GGA.

Unit cell a=5.9823 b=7.5593 c=10.8349 alpha=90.00 beta=103.60 gamma=90.00
Sites, in units of the cell vectors:
Au  0.4476  0.7500  0.3191
Au  0.3058  0.5622  0.0505
Au  0.5524  0.2500  0.6809
Au  0.6942  0.0622  0.9495
Au  0.6942  0.4378  0.9495
Au  0.3058  0.9378  0.0505
Se  0.0491  0.2500  0.0653
Se  0.3738  0.5315  0.7619
Se  0.1458  0.7500  0.4431
Se  0.9509  0.7500  0.9347
Se  0.3738  0.9685  0.7619
Se  0.6262  0.0315  0.2381
Se  0.6262  0.4685  0.2381
Se  0.8542  0.2500  0.5569
Tl  0.7411  0.7500  0.5998
Tl  0.2589  0.2500  0.4002
Tb  0.1086  0.2500  0.8058
Tb  0.8914  0.7500  0.1942

The energy above the most stable polymorph in this dataset is 0.000 eV/atom.

# 3
Zr2Sc: optimized geometry, PBE-GGA.

Unit cell a=5.5855 b=9.7312 c=5.1371 alpha=90.00 beta=90.00 gamma=90.00
Sites, in units of the cell vectors:
Sc  0.9972  0.0000  0.0000
Sc  0.4972  0.5000  0.0000
Sc  0.8361  0.5000  0.5000
Sc  0.3361  0.0000  0.5000
Zr  0.5017  0.8318  0.0000
Zr  0.3316  0.3318  0.5000
Zr  0.5017  0.1682  0.0000
Zr  0.8316  0.8318  0.5000
Zr  0.3316  0.6682  0.5000
Zr  0.0017  0.6682  0.0000
Zr  0.0017  0.3318  0.0000
Zr  0.8316  0.1682  0.5000

The formation energy comes out at -0.030 eV per atom.

# 4
LuNbInFe: optimized geometry, PBE-GGA.

Unit cell a=4.6947 b=4.6947 c=4.6947 alpha=60.00 beta=60.00 gamma=60.00
Sites, in units of the cell vectors:
In  0.0000  0.0000  0.0000
Lu  0.2500  0.2500  0.2500
Nb  0.5000  0.5000  0.5000
Fe  0.7500  0.7500  0.7500

The energy above the most stable polymorph in this dataset is 0.000 eV/atom.

# 5
Ni16W13: optimized geometry, PBE-GGA.

Unit cell a=7.9131 b=7.9131 c=7.9131 alpha=109.47 beta=109.47 gamma=109.47
Sites, in units of the cell vectors:
Ni  0.0000  0.3687  0.1861
Ni  0.6313  0.6313  0.8174
Ni  0.3687  0.0000  0.1861
Ni  0.0000  0.1861  0.3687
Ni  0.8139  0.1826  0.8139
Ni  0.8174  0.6313  0.6313
Ni  0.8139  0.8139  0.1826
Ni  0.1861  0.0000  0.3687
Ni  0.1826  0.8139  0.8139
Ni  0.1861  0.3687  0.0000
Ni  0.0000  0.0000  0.6738
Ni  0.0000  0.6738  0.0000
Ni  0.6738  0.0000  0.0000
Ni  0.3262  0.3262  0.3262
Ni  0.3687  0.1861  0.0000
Ni  0.6313  0.8174  0.6313
W  0.3037  0.7099  0.3037
W  0.6963  0.0000  0.4062
W  0.5938  0.2901  0.5938
W  0.7099  0.3037  0.3037
W  0.4062  0.0000  0.6963
W  0.0000  0.4062  0.6963
W  0.3037  0.3037  0.7099
W  0.0000  0.6963  0.4062
W  0.2901  0.5938  0.5938
W  0.5938  0.5938  0.2901
W  0.6963  0.4062  0.0000
W  0.0000  0.0000  0.0000
W  0.4062  0.6963  0.0000

The energy above the most stable polymorph in this dataset is 0.000 eV/atom. The formation energy comes out at 0.120 eV per atom.

# 6
Ho2Al3Tc: optimized geometry, PBE-GGA.

Unit cell a=5.4929 b=5.4929 c=8.9080 alpha=90.00 beta=90.00 gamma=120.00
Sites, in units of the cell vectors:
Al  0.6750  0.8375  0.2500
Al  0.8375  0.1625  0.7500
Al  0.1625  0.8375  0.2500
Al  0.1625  0.3250  0.2500
Al  0.3250  0.1625  0.7500
Al  0.8375  0.6750  0.7500
Tc  0.0000  0.0000  0.0000
Tc  0.0000  0.0000  0.5000
Ho  0.3333  0.6667  0.5519
Ho  0.6667  0.3333  0.4481
Ho  0.6667  0.3333  0.0519
Ho  0.3333  0.6667  0.9481

no.,E (eV/cell)
1,-77.4
2,-70.3
3,-94.1
4,-24.5
5,-254.1
6,-67.7